one:
# PBE LaPmCoOs, relaxed
# SG: No. 216
# N(E_F) in states/eV per cell: 4.52
data_LaPmCoOs
_space_group_name_H-M_alt 'P 1'
_space_group_IT_number 1
_space_group_name_Hall 'P 1'
_cell_length_a 4.977
_cell_length_b 4.977
_cell_length_c 4.977
_cell_angle_alpha 60.00
_cell_angle_beta 60.00
_cell_angle_gamma 60.00
loop_
_atom_site_label
_atom_site_type_symbol
_atom_site_fract_x
_atom_site_fract_y
_atom_site_fract_z
La1 La 0.000 0.000 0.000
Pm1 Pm 0.500 0.500 0.500
Co1 Co 0.750 0.750 0.750
Os1 Os 0.250 0.250 0.250

=====

two:
# PBE LaPmCoOs, relaxed
# SG: No. 160
# N(E_F) in states/eV per cell: 6.94
data_LaPmCoOs
_space_group_name_H-M_alt 'P 1'
_space_group_IT_number 1
_space_group_name_Hall 'P 1'
_cell_length_a 7.586
_cell_length_b 7.586
_cell_length_c 7.586
_cell_angle_alpha 31.76
_cell_angle_beta 31.76
_cell_angle_gamma 31.76
loop_
_atom_site_label
_atom_site_type_symbol
_atom_site_fract_x
_atom_site_fract_y
_atom_site_fract_z
La1 La 0.000 0.000 0.000
Pm1 Pm 0.174 0.174 0.174
Co1 Co 0.422 0.422 0.422
Os1 Os 0.756 0.756 0.756

=====

Quick look at relative energies in meV per atom: one 181; two 0.

=====

one:
# PBE LaCoP2S, relaxed
# SG: No. 123
# N(E_F) in states/eV per cell: 7.98
data_LaCoP2S
_space_group_name_H-M_alt 'P 1'
_space_group_IT_number 1
_space_group_name_Hall 'P 1'
_cell_length_a 5.477
_cell_length_b 5.477
_cell_length_c 5.390
_cell_angle_alpha 90.00
_cell_angle_beta 90.00
_cell_angle_gamma 90.00
loop_
_atom_site_label
_atom_site_type_symbol
_atom_site_fract_x
_atom_site_fract_y
_atom_site_fract_z
La1 La 0.000 0.000 0.000
Co1 Co 0.500 0.500 0.500
P1 P 0.000 0.500 0.000
P2 P 0.500 0.000 0.000
S1 S 0.000 0.000 0.500

=====

two:
# PBE LaCoP2S, relaxed
# SG: No. 123
# N(E_F) in states/eV per cell: 4.15
data_LaCoP2S
_space_group_name_H-M_alt 'P 1'
_space_group_IT_number 1
_space_group_name_Hall 'P 1'
_cell_length_a 4.311
_cell_length_b 4.311
_cell_length_c 5.027
_cell_angle_alpha 90.00
_cell_angle_beta 90.00
_cell_angle_gamma 90.00
loop_
_atom_site_label
_atom_site_type_symbol
_atom_site_fract_x
_atom_site_fract_y
_atom_site_fract_z
La1 La 0.000 0.000 0.000
Co1 Co 0.500 0.500 0.500
P1 P 0.000 0.500 0.500
P2 P 0.500 0.000 0.500
S1 S 0.500 0.500 0.000

=====

Quick look at relative energies in meV per atom: one 1754; two 0.